(1)
DFT (PBE-GGA) results for AgPdBr2 after structural relaxation.

Values from the calculation:
M_tot = 1.905 μB per cell
Energy above the most stable polymorph in this dataset = 0.000 eV per atom
Total DFT energy (no corrections) = -11.6 eV/f.u.
Volume = 116 Å³/f.u.

Cell lengths 7.6969, 7.6969, 7.6969 Å; angles 133.99, 133.99, 67.11 degrees
Closest atoms and distances in Å follow each position.
Sites, in units of the cell vectors:
Ag (0.0000, 0.0000, 0.0000)  4 Br 2.73
Ag (0.7500, 0.2500, 0.5000)  4 Br 2.73
Pd (0.2500, 0.7500, 0.5000)  4 Br 2.60
Pd (0.5000, 0.5000, 0.0000)  4 Br 2.60
Br (0.1436, 0.6250, 0.0186)  2 Pd 2.60, 2 Ag 2.73
Br (0.3750, 0.3936, 0.5186)  2 Pd 2.60, 2 Ag 2.73
Br (0.6064, 0.1250, 0.9814)  2 Pd 2.60, 2 Ag 2.73
Br (0.8750, 0.8564, 0.4814)  2 Pd 2.60, 2 Ag 2.73

***

(2)
DFT (PBE-GGA) results for Ag3PdBr6 after structural relaxation.

Values from the calculation:
M_tot = 1.050 μB per cell
Energy above the most stable polymorph in this dataset = 0.000 eV per atom
Total DFT energy (no corrections) = -26.4 eV/f.u.
Volume = 266 Å³/f.u.

Cell lengths 7.4114, 6.9222, 12.6413 Å; angles 90.00, 124.93, 90.00 degrees
Closest atoms and distances in Å follow each position.
Sites, in units of the cell vectors:
Ag (0.0000, 0.0000, 0.0000)  2 Br 2.61
Ag (0.0000, 0.5000, 0.5000)  2 Br 2.61
Ag (0.2575, 0.0119, 0.7271)  4 Br 2.76-2.83
Ag (0.2575, 0.4881, 0.2271)  4 Br 2.76-2.83
Ag (0.7425, 0.5119, 0.7729)  4 Br 2.76-2.83
Ag (0.7425, 0.9881, 0.2729)  4 Br 2.76-2.83
Pd (0.5000, 0.0000, 0.5000)  6 Br 2.53-2.77
Pd (0.5000, 0.5000, 0.0000)  6 Br 2.53-2.77
Br (0.1263, 0.1802, 0.4514)  2 Ag 2.61-2.76, 1 Pd 2.77
Br (0.1263, 0.3198, 0.9514)  2 Ag 2.61-2.76, 1 Pd 2.77
Br (0.2738, 0.6940, 0.4203)  1 Pd 2.53, 1 Ag 2.77
Br (0.2738, 0.8060, 0.9203)  1 Pd 2.53, 1 Ag 2.77
Br (0.3738, 0.0955, 0.2722)  1 Pd 2.55, 2 Ag 2.81-2.83
Br (0.3738, 0.4045, 0.7722)  1 Pd 2.55, 2 Ag 2.81-2.83
Br (0.6262, 0.5955, 0.2278)  1 Pd 2.55, 2 Ag 2.81-2.83
Br (0.6262, 0.9045, 0.7278)  1 Pd 2.55, 2 Ag 2.81-2.83
Br (0.7262, 0.1940, 0.0797)  1 Pd 2.53, 1 Ag 2.77
Br (0.7262, 0.3060, 0.5797)  1 Pd 2.53, 1 Ag 2.77
Br (0.8737, 0.6802, 0.0486)  2 Ag 2.61-2.76, 1 Pd 2.77
Br (0.8737, 0.8198, 0.5486)  2 Ag 2.61-2.76, 1 Pd 2.77

***

(3)
DFT (PBE-GGA) results for AgPdPtBr6 after structural relaxation.

Values from the calculation:
M_tot = 0.000 μB per cell
Total DFT energy (no corrections) = -26.2 eV/f.u.
Volume = 272 Å³/f.u.

Cell lengths 6.9223, 6.9223, 11.3328 Å; angles 90.00, 90.00, 90.00 degrees
Closest atoms and distances in Å follow each position.
Sites, in units of the cell vectors:
Ag (0.0000, 0.0000, 0.0000)  4 Br 2.67-2.68
Ag (0.5000, 0.5000, 0.5000)  4 Br 2.67-2.68
Pd (0.0000, 0.0000, 0.6657)  4 Br 2.49-2.51
Pd (0.5000, 0.5000, 0.1657)  4 Br 2.49-2.51
Pt (0.0000, 0.0000, 0.3369)  4 Br 2.47-2.49
Pt (0.5000, 0.5000, 0.8369)  4 Br 2.47-2.49
Br (0.1702, 0.1702, 0.5002)  1 Pt 2.49, 1 Pd 2.51
Br (0.1761, 0.1761, 0.1807)  1 Pt 2.47, 1 Ag 2.68
Br (0.1787, 0.1787, 0.8224)  1 Pd 2.49, 1 Ag 2.67
Br (0.3213, 0.6787, 0.3224)  1 Pd 2.49, 1 Ag 2.67
Br (0.3239, 0.6761, 0.6807)  1 Pt 2.47, 1 Ag 2.68
Br (0.3298, 0.6702, 0.0002)  1 Pt 2.49, 1 Pd 2.51
Br (0.6702, 0.3298, 0.0002)  1 Pt 2.49, 1 Pd 2.51
Br (0.6761, 0.3239, 0.6807)  1 Pt 2.47, 1 Ag 2.68
Br (0.6787, 0.3213, 0.3224)  1 Pd 2.49, 1 Ag 2.67
Br (0.8213, 0.8213, 0.8224)  1 Pd 2.49, 1 Ag 2.67
Br (0.8239, 0.8239, 0.1807)  1 Pt 2.47, 1 Ag 2.68
Br (0.8298, 0.8298, 0.5002)  1 Pt 2.49, 1 Pd 2.51

***

(4)
DFT (PBE-GGA) results for Rb4AgPd3Br12 after structural relaxation.

Values from the calculation:
M_tot = 0.000 μB per cell
Total DFT energy (no corrections) = -60.4 eV/f.u.
Volume = 606 Å³/f.u.

Cell lengths 9.2356, 9.2356, 9.2356 Å; angles 109.47, 109.47, 109.47 degrees
Closest atoms and distances in Å follow each position.
Sites, in units of the cell vectors:
Rb (0.0000, 0.0000, 0.5000)  12 Br 3.77
Rb (0.0000, 0.5000, 0.0000)  12 Br 3.77
Rb (0.5000, 0.0000, 0.0000)  12 Br 3.77
Rb (0.5000, 0.5000, 0.5000)  12 Br 3.77
Ag (0.0000, 0.0000, 0.0000)  6 Br 2.79
Pd (0.0000, 0.5000, 0.5000)  6 Br 2.55-2.67
Pd (0.5000, 0.0000, 0.5000)  6 Br 2.55-2.67
Pd (0.5000, 0.5000, 0.0000)  6 Br 2.55-2.67
Br (0.0000, 0.2612, 0.2612)  1 Pd 2.55, 1 Ag 2.79
Br (0.0000, 0.7388, 0.7388)  1 Pd 2.55, 1 Ag 2.79
Br (0.2500, 0.5000, 0.7500)  2 Pd 2.67
Br (0.2500, 0.7500, 0.5000)  2 Pd 2.67
Br (0.2612, 0.0000, 0.2612)  1 Pd 2.55, 1 Ag 2.79
Br (0.2612, 0.2612, 0.0000)  1 Pd 2.55, 1 Ag 2.79
Br (0.5000, 0.2500, 0.7500)  2 Pd 2.67
Br (0.5000, 0.7500, 0.2500)  2 Pd 2.67
Br (0.7388, 0.0000, 0.7388)  1 Pd 2.55, 1 Ag 2.79
Br (0.7388, 0.7388, 0.0000)  1 Pd 2.55, 1 Ag 2.79
Br (0.7500, 0.2500, 0.5000)  2 Pd 2.67
Br (0.7500, 0.5000, 0.2500)  2 Pd 2.67

***

(5)
DFT (PBE-GGA) results for Rb3AgPd2Br9 after structural relaxation.

Values from the calculation:
M_tot = 0.000 μB per cell
Total DFT energy (no corrections) = -44.5 eV/f.u.
Volume = 457 Å³/f.u.

Cell lengths 7.5500, 7.5500, 9.2562 Å; angles 90.00, 90.00, 120.00 degrees
Closest atoms and distances in Å follow each position.
Sites, in units of the cell vectors:
Rb (0.0000, 0.0000, 0.0000)  12 Br 3.75-3.78
Rb (0.3333, 0.6667, 0.6648)  12 Br 3.78-3.79
Rb (0.6667, 0.3333, 0.3352)  12 Br 3.78-3.79
Ag (0.0000, 0.0000, 0.5000)  6 Br 2.76
Pd (0.3333, 0.6667, 0.1621)  6 Br 2.60-2.65
Pd (0.6667, 0.3333, 0.8379)  6 Br 2.60-2.65
Br (0.0000, 0.5000, 0.0000)  2 Pd 2.65
Br (0.1709, 0.3419, 0.3250)  1 Pd 2.60, 1 Ag 2.76
Br (0.1709, 0.8291, 0.3250)  1 Pd 2.60, 1 Ag 2.76
Br (0.3419, 0.1709, 0.6750)  1 Pd 2.60, 1 Ag 2.76
Br (0.5000, 0.0000, 0.0000)  2 Pd 2.65
Br (0.5000, 0.5000, 0.0000)  2 Pd 2.65
Br (0.6581, 0.8291, 0.3250)  1 Pd 2.60, 1 Ag 2.76
Br (0.8291, 0.1709, 0.6750)  1 Pd 2.60, 1 Ag 2.76
Br (0.8291, 0.6581, 0.6750)  1 Pd 2.60, 1 Ag 2.76

***

(6)
DFT (PBE-GGA) results for Rb3Ag2PdBr6 after structural relaxation.

Values from the calculation:
M_tot = 1.048 μB per cell
Total DFT energy (no corrections) = -34.1 eV/f.u.
Volume = 499 Å³/f.u.

Cell lengths 8.1680, 8.1680, 8.6401 Å; angles 90.00, 90.00, 120.00 degrees
Closest atoms and distances in Å follow each position.
Sites, in units of the cell vectors:
Rb (0.0000, 0.0000, 0.0000)  6 Br 3.42
Rb (0.3333, 0.6667, 0.6298)  1 Ag 3.51, 3 Br 3.78
Rb (0.6667, 0.3333, 0.3702)  1 Ag 3.51, 3 Br 3.78
Ag (0.3333, 0.6667, 0.2241)  3 Br 2.61
Ag (0.6667, 0.3333, 0.7759)  3 Br 2.61
Pd (0.0000, 0.0000, 0.5000)  6 Br 2.77
Br (0.1551, 0.3102, 0.3043)  1 Ag 2.61, 1 Pd 2.77
Br (0.1551, 0.8449, 0.3043)  1 Ag 2.61, 1 Pd 2.77
Br (0.3102, 0.1551, 0.6957)  1 Ag 2.61, 1 Pd 2.77
Br (0.6898, 0.8449, 0.3043)  1 Ag 2.61, 1 Pd 2.77
Br (0.8449, 0.1551, 0.6957)  1 Ag 2.61, 1 Pd 2.77
Br (0.8449, 0.6898, 0.6957)  1 Ag 2.61, 1 Pd 2.77